Here is a relaxed structure of La2Tb4Pm5 from Alexandria. Energies are from PBE.

Calculated values
Energy of formation (eV/atom): 0.1755
Crystal system: orthorhombic
Energy above the most stable polymorph in this dataset (meV/atom): 110
Total moment (μB/cell): 0.000

a b c (Å): 12.846 12.846 12.846
angles (deg): 164.13 137.79 45.36
Fractional coordinates of all 11 atoms:
La  0.233  0.233  0.000
La  0.767  0.767  0.000
Tb  0.097  0.097  0.000
Tb  0.188  0.500  0.688
Tb  0.812  0.500  0.312
Tb  0.903  0.903  0.000
Pm  0.165  0.359  0.806
Pm  0.447  0.641  0.806
Pm  0.500  0.000  0.500
Pm  0.553  0.359  0.194
Pm  0.835  0.641  0.194